A plane-wave DFT calculation with GGA-PBE was carried out for a geometry-optimized HoTm5In structure.

Output
Energy of formation   5.22 eV/f.u.

Unit cell a=6.0859 b=7.9150 c=7.5708 alpha=121.52 beta=113.70 gamma=90.00
Positions (direct):
Ho  0.8324  0.0000  0.0000
Tm  0.3311  0.8154  0.0000
Tm  0.0382  0.5000  0.0000
Tm  0.9661  0.7483  0.4966
Tm  0.3311  0.1846  0.0000
Tm  0.4695  0.2517  0.5034
In  0.5623  0.5000  0.0000

***

A plane-wave DFT calculation with GGA-PBE was carried out for a geometry-optimized ZnNiPt structure.

Output
Energy of formation   -0.83 eV/f.u.

Unit cell a=4.6460 b=4.6460 c=4.6460 alpha=145.54 beta=133.89 gamma=58.81
Last column: magnetic moment on the atom in μB.
Positions (direct):
Zn  0.6626  0.6626  0.0000  0.00
Ni  0.0042  0.0042  0.0000  0.14
Pt  0.3332  0.3332  0.0000  0.03

***

A plane-wave DFT calculation with GGA-PBE was carried out for a geometry-optimized Li4Ag6Pd structure.

Output
Energy of formation   -0.75 eV/f.u.

Unit cell a=7.7535 b=7.7535 c=7.7535 alpha=59.41 beta=138.97 gamma=138.97
Positions (direct):
Ag  0.5000  0.5000  0.0000
Pd  0.0000  0.0000  0.0000
Li  0.6071  0.9592  0.9592
Li  0.3929  0.3521  0.3521
Ag  0.0000  0.4586  0.8385
Ag  0.0000  0.8385  0.4586
Ag  0.6201  0.1615  0.1615
Ag  0.5000  0.0000  0.5000
Ag  0.3799  0.5414  0.5414
Li  0.0000  0.6479  0.0408
Li  0.0000  0.0408  0.6479

***

A plane-wave DFT calculation with GGA-PBE was carried out for a geometry-optimized CaSnTeI2 structure.

Output
Distance to the lowest polymorph of the same formula   0 meV per atom
Formation energy without anion corrections   -443 meV/atom

Unit cell a=5.8203 b=5.8203 c=6.2194 alpha=90.00 beta=90.00 gamma=90.00
Positions (direct):
I  0.0000  0.5000  0.0000
Te  0.0000  0.0000  0.5000
Sn  0.5000  0.5000  0.5000
Ca  0.0000  0.0000  0.0000
I  0.5000  0.0000  0.0000

***

A plane-wave DFT calculation with GGA-PBE was carried out for a geometry-optimized CuNiRh4 structure.

Output
Energy of formation   0.40 eV/f.u.
Distance to the lowest polymorph of the same formula   0 meV per atom

Unit cell a=2.7110 b=2.7110 c=10.9656 alpha=90.00 beta=90.00 gamma=90.00
Last column: magnetic moment on the atom in μB.
Positions (direct):
Rh  0.5000  0.5000  0.8390  0.09
Rh  0.0000  0.0000  0.3323  0.04
Ni  0.0000  0.0000  0.0000  0.33
Rh  0.0000  0.0000  0.6677  0.04
Rh  0.5000  0.5000  0.1610  0.09
Cu  0.5000  0.5000  0.5000  0.01

***

A plane-wave DFT calculation with GGA-PBE was carried out for a geometry-optimized SrAlPCl2 structure.

Output
Distance to the lowest polymorph of the same formula   0 meV per atom
Formation energy without anion corrections   -1070 meV/atom

Unit cell a=4.8924 b=4.8924 c=4.8048 alpha=90.00 beta=90.00 gamma=90.00
Positions (direct):
Cl  0.0000  0.5000  0.0000
Al  0.0000  0.0000  0.0000
P  0.0000  0.0000  0.5000
Cl  0.5000  0.0000  0.0000
Sr  0.5000  0.5000  0.5000

***

A plane-wave DFT calculation with GGA-PBE was carried out for a geometry-optimized B2PtS6 structure.

Output
Formation energy without anion corrections   -128 meV/atom

Unit cell a=5.8903 b=7.3303 c=7.3303 alpha=79.85 beta=80.88 gamma=80.88
Positions (direct):
S  0.1255  0.4149  0.2716
S  0.6255  0.2716  0.4149
B  0.1550  0.6464  0.7932
B  0.8450  0.3536  0.2068
S  0.8409  0.8877  0.4172
S  0.6591  0.5828  0.1123
S  0.3592  0.0122  0.2052
S  0.8592  0.2052  0.0122
S  0.3409  0.4172  0.8877
S  0.3745  0.7284  0.5851
S  0.1591  0.1123  0.5828
S  0.1408  0.7948  0.9878
Pt  0.2500  0.1102  0.8898
S  0.8745  0.5851  0.7284
Pt  0.7500  0.8898  0.1102
S  0.6408  0.9878  0.7948
B  0.3451  0.2068  0.3536
B  0.6550  0.7932  0.6464

***

A plane-wave DFT calculation with GGA-PBE was carried out for a geometry-optimized CaScSCl2 structure.

Output
Distance to the lowest polymorph of the same formula   0 meV per atom
Formation energy without anion corrections   -1620 meV/atom

Unit cell a=4.9228 b=4.9228 c=5.0748 alpha=90.00 beta=90.00 gamma=90.00
Positions (direct):
Cl  0.5000  0.0000  0.0000
Cl  0.0000  0.5000  0.0000
S  0.0000  0.0000  0.5000
Ca  0.5000  0.5000  0.5000
Sc  0.0000  0.0000  0.0000

***

A plane-wave DFT calculation with GGA-PBE was carried out for a geometry-optimized Hf3ZrTi2 structure.

Output
Energy of formation   0.83 eV/f.u.

Unit cell a=3.0192 b=7.8828 c=11.1961 alpha=79.12 beta=82.25 gamma=78.96
Positions (direct):
Hf  0.6002  0.8176  0.9819
Ti  0.3375  0.8612  0.4637
Ti  0.8208  0.4746  0.8837
Ti  0.6625  0.1388  0.5363
Ti  0.1792  0.5254  0.1163
Zr  0.5570  0.5339  0.3521
Hf  0.3998  0.1824  0.0181
Zr  0.4430  0.4661  0.6479
Hf  0.2505  0.1984  0.3006
Hf  0.7495  0.8016  0.6994
Hf  0.0461  0.1237  0.7840
Hf  0.9539  0.8763  0.2160

***

A plane-wave DFT calculation with GGA-PBE was carried out for a geometry-optimized AlCrSn3 structure.

Output
Energy of formation   2.13 eV/f.u.
Distance to the lowest polymorph of the same formula   0 meV per atom

Unit cell a=5.0610 b=5.0610 c=5.0610 alpha=90.00 beta=90.00 gamma=90.00
Last column: magnetic moment on the atom in μB.
Positions (direct):
Sn  0.0000  0.0000  0.5000  0.00
Sn  0.5000  0.0000  0.0000  -0.04
Sn  0.0000  0.5000  0.0000  -0.03
Cr  0.0000  0.0000  0.0000  0.83
Al  0.5000  0.5000  0.5000  0.01

***

A plane-wave DFT calculation with GGA-PBE was carried out for a geometry-optimized PrNd2Eu structure.

Output
Energy of formation   0.53 eV/f.u.
Distance to the lowest polymorph of the same formula   98 meV per atom

Unit cell a=3.6465 b=3.6465 c=13.1067 alpha=82.00 beta=82.00 gamma=60.00
Last column: magnetic moment on the atom in μB.
Positions (direct):
Pr  0.5000  0.5000  0.5000  0.00
Nd  0.9103  0.9103  0.2691  0.04
Eu  0.0000  0.0000  0.0000  7.05
Nd  0.0897  0.0897  0.7309  0.04

***

A plane-wave DFT calculation with GGA-PBE was carried out for a geometry-optimized KScAlFe structure.

Output
Energy of formation   1.02 eV/f.u.
Distance to the lowest polymorph of the same formula   108 meV per atom

Unit cell a=2.9897 b=3.9204 c=17.1579 alpha=90.00 beta=90.15 gamma=90.00
Positions (direct):
Fe  0.6321  0.0000  0.7498
Al  0.1322  0.5000  0.7338
Fe  0.6321  0.5000  0.2498
Al  0.1322  0.0000  0.2338
Sc  0.1363  0.0000  0.8642
K  0.6300  0.5000  0.0659
K  0.6300  0.0000  0.5659
Sc  0.1363  0.5000  0.3642

***

A plane-wave DFT calculation with GGA-PBE was carried out for a geometry-optimized ZrCd2Os structure.

Output
Energy of formation   1.56 eV/f.u.
Distance to the lowest polymorph of the same formula   398 meV per atom

Unit cell a=2.9225 b=2.9225 c=8.9215 alpha=90.00 beta=90.00 gamma=90.00
Last column: magnetic moment on the atom in μB.
Positions (direct):
Zr  0.5000  0.5000  0.7500  -0.01
Os  0.5000  0.5000  0.2500  0.20
Cd  0.0000  0.0000  0.4780  0.00
Cd  0.0000  0.0000  0.0220  0.00

***

A plane-wave DFT calculation with GGA-PBE was carried out for a geometry-optimized Cr2SbPdBr structure.

Output
Formation energy without anion corrections   1109 meV/atom

Unit cell a=5.1672 b=5.6502 c=5.1672 alpha=90.00 beta=90.00 gamma=90.00
Last column: magnetic moment on the atom in μB.
Positions (direct):
Pd  0.5000  0.5000  0.5000  0.04
Cr  0.5000  0.0000  0.0000  3.78
Br  0.0000  0.5000  0.0000  0.07
Sb  0.0000  0.0000  0.0000  -0.16
Cr  0.0000  0.0000  0.5000  3.99

***

A plane-wave DFT calculation with GGA-PBE was carried out for a geometry-optimized Ga3PbF structure.

Output
Distance to the lowest polymorph of the same formula   0 meV per atom
Formation energy without anion corrections   -406 meV/atom

Unit cell a=4.7921 b=4.7921 c=4.7921 alpha=90.00 beta=90.00 gamma=90.00
Positions (direct):
Ga  0.0000  0.0000  0.5000
Pb  0.5000  0.5000  0.5000
Ga  0.5000  0.0000  0.0000
F  0.0000  0.0000  0.0000
Ga  0.0000  0.5000  0.0000

***

A plane-wave DFT calculation with GGA-PBE was carried out for a geometry-optimized La3MgSn2 structure.

Output
Energy of formation   -3.18 eV/f.u.

Unit cell a=6.7405 b=6.5713 c=9.8524 alpha=109.48 beta=110.00 gamma=90.00
Last column: magnetic moment on the atom in μB.
Positions (direct):
Sn  0.1074  0.3705  0.7410  0.00
Sn  0.3664  0.1295  0.2590  0.00
La  0.5743  0.3219  0.6439  0.27
La  0.5000  0.7500  0.0000  0.29
La  0.9305  0.1781  0.3561  0.27
La  0.0695  0.8219  0.6439  0.27
La  0.4257  0.6781  0.3561  0.27
Mg  0.0000  0.7500  0.0000  0.02
Sn  0.6336  0.8705  0.7410  0.00
Sn  0.8926  0.6295  0.2590  0.00
La  0.5000  0.2500  0.0000  0.29
Mg  0.0000  0.2500  0.0000  0.02

***

A plane-wave DFT calculation with GGA-PBE was carried out for a geometry-optimized Ho2Pd2Se structure.

Output
Formation energy without anion corrections   -1065 meV/atom

Unit cell a=4.2475 b=4.2475 c=7.4132 alpha=92.79 beta=106.43 gamma=114.91
Positions (direct):
Pd  0.2922  0.1583  0.4505
Ho  0.1840  0.5672  0.7511
Se  0.0000  0.0000  0.0000
Pd  0.7078  0.8417  0.5495
Ho  0.8160  0.4328  0.2489

***

A plane-wave DFT calculation with GGA-PBE was carried out for a geometry-optimized Pa2PC structure.

Output
Energy of formation   -3.49 eV/f.u.
Distance to the lowest polymorph of the same formula   0 meV per atom

Unit cell a=3.7331 b=3.7331 c=6.7129 alpha=73.86 beta=73.86 gamma=60.00
Positions (direct):
Pa  0.2398  0.2398  0.2806
P  0.0000  0.0000  0.0000
C  0.5000  0.5000  0.5000
Pa  0.7602  0.7602  0.7194

***

A plane-wave DFT calculation with GGA-PBE was carried out for a geometry-optimized Tl2ReAg structure.

Output
Energy of formation   4.60 eV/f.u.
Distance to the lowest polymorph of the same formula   411 meV per atom

Unit cell a=4.3518 b=4.3518 c=10.0973 alpha=77.56 beta=77.56 gamma=90.00
Last column: magnetic moment on the atom in μB.
Positions (direct):
Tl  0.3750  0.3603  0.7500  -0.03
Re  0.7500  0.2500  0.5000  1.20
Tl  0.8750  0.8897  0.7500  -0.03
Tl  0.1103  0.6250  0.2500  -0.02
Re  0.0000  0.0000  0.0000  1.19
Ag  0.5000  0.5000  0.0000  0.00
Ag  0.2500  0.7500  0.5000  0.00
Tl  0.6397  0.1250  0.2500  -0.02

***

A plane-wave DFT calculation with GGA-PBE was carried out for a geometry-optimized Tl3RhI structure.

Output
Distance to the lowest polymorph of the same formula   85 meV per atom
Formation energy without anion corrections   -180 meV/atom

Unit cell a=9.9899 b=9.9899 c=9.9899 alpha=60.00 beta=60.00 gamma=60.00
Positions (direct):
Tl  0.0549  0.4451  0.0549
Tl  0.8049  0.1951  0.1951
I  0.6250  0.6250  0.6250
Rh  0.1250  0.1250  0.6250
Tl  0.8049  0.1951  0.8049
Tl  0.4451  0.4451  0.0549
Tl  0.4451  0.0549  0.0549
Tl  0.4451  0.0549  0.4451
I  0.6250  0.1250  0.6250
Tl  0.1951  0.1951  0.8049
I  0.6250  0.6250  0.1250
Rh  0.1250  0.1250  0.1250
Tl  0.1951  0.8049  0.1951
Rh  0.6250  0.1250  0.1250
Tl  0.0549  0.4451  0.4451
Tl  0.1951  0.8049  0.8049
I  0.1250  0.6250  0.6250
Tl  0.8049  0.8049  0.1951
Rh  0.1250  0.6250  0.1250
Tl  0.0549  0.0549  0.4451